The following is a DFT calculation (PBE) of an optimized crystal structure of PuZn3Pt.

Calculated values
* crystal system: monoclinic
* E above lowest polymorph: 0.0166 eV per atom
* formation enthalpy at 0 K: -1.9 eV/f.u.
* spin magnetization: 5.45 μB/f.u.

The structure in CIF format:
```
data_PuZn3Pt
_chemical_formula_sum 'Pu2 Zn6 Pt2'
_cell_length_a 5.335
_cell_length_b 5.611
_cell_length_c 6.692
_cell_angle_alpha 90.00
_cell_angle_beta 112.19
_cell_angle_gamma 90.00
_space_group_name_H-M_alt 'P 1 21/m 1'
_space_group_IT_number 11
_space_group_name_Hall '-P 2yb'
loop_
_atom_site_label
_atom_site_fract_x
_atom_site_fract_y
_atom_site_fract_z
Pu1 0.217 0.250 0.157
Zn1 0.217 0.015 0.679
Zn2 0.276 0.750 0.384
Pt1 0.364 0.750 0.032
```